a | Nd8DyHo6: optimized geometry, PBE.

## Properties
Space-group type   R-3, No. 148
Magnetization   0.0 μB per formula unit

Cell lengths 9.132, 9.132, 8.749 Å; angles 58.54, 58.54, 60.00 degrees
Atoms (fractional coordinates):
1 Nd 0.249 0.283 0.580
2 Nd 0.717 0.113 0.420
3 Nd 0.113 0.751 0.420
4 Nd 0.578 0.578 0.266
5 Nd 0.422 0.422 0.734
6 Nd 0.887 0.249 0.580
7 Nd 0.283 0.887 0.580
8 Nd 0.751 0.717 0.420
9 Dy 0.000 0.000 0.000
10 Ho 0.461 0.903 0.884
11 Ho 0.097 0.248 0.116
12 Ho 0.248 0.539 0.116
13 Ho 0.752 0.461 0.884
14 Ho 0.903 0.752 0.884
15 Ho 0.539 0.097 0.116

---

b | Nd8DyHo6: optimized geometry, PBE.

## Properties
Space-group type   P-3, No. 147
Magnetization   0.0 μB per formula unit

Cell lengths 6.573, 9.437, 9.437 Å; angles 120.00, 90.00, 90.00 degrees
Atoms (fractional coordinates):
1 Nd 0.833 0.037 0.287
2 Nd 0.833 0.713 0.750
3 Nd 0.833 0.250 0.963
4 Nd 0.167 0.963 0.713
5 Nd 0.167 0.287 0.250
6 Nd 0.167 0.750 0.037
7 Nd 0.879 0.333 0.667
8 Nd 0.121 0.667 0.333
9 Dy 0.500 0.000 0.000
10 Ho 0.657 0.657 0.094
11 Ho 0.657 0.906 0.562
12 Ho 0.657 0.438 0.343
13 Ho 0.343 0.343 0.906
14 Ho 0.343 0.094 0.438
15 Ho 0.343 0.562 0.657

---

Relative energies in kJ/mol of atoms: a 0.0; b 4.9

---

a | Nd6Dy3Ho: optimized geometry, PBE.

## Properties
Space-group type   Cmc2_1, No. 36
Magnetization   0.0 μB per formula unit

Cell lengths 6.442, 11.796, 11.796 Å; angles 130.64, 90.00, 90.00 degrees
Atoms (fractional coordinates):
1 Nd 0.068 0.741 0.620
2 Nd 0.568 0.620 0.741
3 Nd 0.322 0.455 0.894
4 Nd 0.822 0.894 0.455
5 Nd 0.319 0.984 0.016
6 Nd 0.798 0.301 0.699
7 Nd 0.298 0.699 0.301
8 Nd 0.819 0.016 0.984
9 Nd 0.322 0.106 0.545
10 Nd 0.822 0.545 0.106
11 Nd 0.068 0.380 0.259
12 Nd 0.568 0.259 0.380
13 Dy 0.492 0.958 0.707
14 Dy 0.992 0.707 0.958
15 Dy 0.088 0.420 0.580
16 Dy 0.588 0.580 0.420
17 Dy 0.992 0.042 0.293
18 Dy 0.492 0.293 0.042
19 Ho 0.017 0.158 0.842
20 Ho 0.517 0.842 0.158

---

b | Nd6Dy3Ho: optimized geometry, PBE.

## Properties
Space-group type   Cmc2_1, No. 36
Magnetization   0.0 μB per formula unit

Cell lengths 6.397, 11.122, 11.122 Å; angles 120.82, 90.00, 90.00 degrees
Atoms (fractional coordinates):
1 Nd 0.050 0.711 0.627
2 Nd 0.550 0.627 0.711
3 Nd 0.362 0.521 0.941
4 Nd 0.862 0.941 0.521
5 Nd 0.383 0.964 0.036
6 Nd 0.652 0.280 0.720
7 Nd 0.152 0.720 0.280
8 Nd 0.883 0.036 0.964
9 Nd 0.362 0.059 0.479
10 Nd 0.862 0.479 0.059
11 Nd 0.050 0.373 0.289
12 Nd 0.550 0.289 0.373
13 Dy 0.466 0.945 0.715
14 Dy 0.966 0.715 0.945
15 Dy 0.082 0.385 0.615
16 Dy 0.582 0.615 0.385
17 Dy 0.966 0.055 0.285
18 Dy 0.466 0.285 0.055
19 Ho 0.113 0.195 0.805
20 Ho 0.613 0.805 0.195

---

Relative energies in kJ/mol of atoms: a 0.0; b 1.6

---

a | Nd3Dy2Ho5: optimized geometry, PBE.

## Properties
Space-group type   C2/c, No. 15
Magnetization   0.0 μB per formula unit

Cell lengths 9.416, 9.401, 11.138 Å; angles 124.89, 124.92, 69.23 degrees
Atoms (fractional coordinates):
1 Nd 0.234 0.984 0.968
2 Nd 0.766 0.016 0.032
3 Nd 0.731 0.474 0.252
4 Nd 0.269 0.526 0.748
5 Nd 0.021 0.777 0.252
6 Nd 0.979 0.223 0.748
7 Dy 0.769 0.013 0.735
8 Dy 0.231 0.987 0.265
9 Dy 0.466 0.722 0.735
10 Dy 0.534 0.278 0.265
11 Ho 0.272 0.522 0.044
12 Ho 0.728 0.478 0.956
13 Ho 0.026 0.776 0.553
14 Ho 0.529 0.279 0.559
15 Ho 0.974 0.224 0.447
16 Ho 0.471 0.721 0.441
17 Ho 0.852 0.603 0.725
18 Ho 0.148 0.397 0.275
19 Ho 0.373 0.122 0.725
20 Ho 0.627 0.878 0.275

---

b | Nd3Dy2Ho5: optimized geometry, PBE.

## Properties
Space-group type   Ibam, No. 72
Magnetization   0.0 μB per formula unit

Cell lengths 6.337, 11.061, 11.061 Å; angles 98.78, 73.36, 73.36 degrees
Atoms (fractional coordinates):
1 Nd 0.250 0.000 0.000
2 Nd 0.750 0.000 0.000
3 Nd 0.343 0.402 0.911
4 Nd 0.657 0.598 0.089
5 Nd 0.843 0.911 0.402
6 Nd 0.157 0.089 0.598
7 Dy 0.104 0.740 0.052
8 Dy 0.896 0.260 0.948
9 Dy 0.604 0.052 0.740
10 Dy 0.396 0.948 0.260
11 Ho 0.250 0.500 0.500
12 Ho 0.750 0.500 0.500
13 Ho 0.503 0.747 0.747
14 Ho 0.997 0.253 0.253
15 Ho 0.497 0.253 0.253
16 Ho 0.003 0.747 0.747
17 Ho 0.099 0.557 0.246
18 Ho 0.901 0.443 0.754
19 Ho 0.599 0.246 0.557
20 Ho 0.401 0.754 0.443

---

Relative energies in kJ/mol of atoms: a 0.0; b 14.1

---

a | Nd5Dy4Ho2: optimized geometry, PBE.

## Properties
Space-group type   C2/m, No. 12
Magnetization   0.0 μB per formula unit

Cell lengths 3.558, 11.651, 9.034 Å; angles 93.93, 101.36, 90.00 degrees
Atoms (fractional coordinates):
1 Nd 0.903 0.464 0.806
2 Nd 0.097 0.536 0.194
3 Nd 0.823 0.929 0.646
4 Nd 0.500 0.000 0.000
5 Nd 0.177 0.071 0.354
6 Dy 0.359 0.205 0.719
7 Dy 0.964 0.739 0.928
8 Dy 0.641 0.795 0.281
9 Dy 0.036 0.261 0.072
10 Ho 0.716 0.353 0.431
11 Ho 0.284 0.647 0.569

---

b | Nd5Dy4Ho2: optimized geometry, PBE.

## Properties
Space-group type   Immm, No. 71
Magnetization   0.0 μB per formula unit

Cell lengths 3.528, 9.168, 12.766 Å; angles 111.04, 97.94, 90.00 degrees
Atoms (fractional coordinates):
1 Nd 0.853 0.054 0.706
2 Nd 0.853 0.651 0.706
3 Nd 0.147 0.349 0.294
4 Nd 0.147 0.946 0.294
5 Nd 0.500 0.000 0.000
6 Dy 0.000 0.312 0.000
7 Dy 0.597 0.597 0.193
8 Dy 0.000 0.688 0.000
9 Dy 0.403 0.403 0.807
10 Ho 0.270 0.270 0.539
11 Ho 0.730 0.730 0.461

---

Relative energies in kJ/mol of atoms: a 0.0; b 12.5